VASP calculation (PBE-GGA) on an optimized crystal structure of Zn4Ga4Pd.

Calculated values
The value obtained for the density of states at the Fermi level is 7.9 states/eV/cell. Its total energy is -2.498 eV/atom. The volume comes out at 17.100 Å³ per atom. For the spin magnetization, the calculation gives 0.0 μB/cell.

CIF file:
```
data_Zn4Ga4Pd
_space_group_name_H-M_alt 'I 4/m'
_space_group_IT_number 87
_space_group_name_Hall '-I 4'
_cell_length_a 7.839
_cell_length_b 7.839
_cell_length_c 5.009
_cell_angle_alpha 90.00
_cell_angle_beta 90.00
_cell_angle_gamma 90.00
loop_
_atom_site_label
_atom_site_fract_x
_atom_site_fract_y
_atom_site_fract_z
Zn1 0.093 0.210 0.000
Ga1 0.051 0.331 0.500
Pd1 0.000 0.000 0.500
```



VASP calculation (PBE-GGA) on an optimized crystal structure of CePrMg2.

Calculated values
The value obtained for the density of states at the Fermi level is 32.2 states/eV/cell. The volume comes out at 29.196 Å³ per atom. For the spin magnetization, the calculation gives 4.1 μB/cell. As for the energy above the most stable polymorph in this dataset: 0.002 eV/atom.

CIF file:
```
data_CePrMg2
_space_group_name_H-M_alt 'F m -3 m'
_space_group_IT_number 225
_space_group_name_Hall '-F 4 2 3'
_cell_length_a 7.759
_cell_length_b 7.759
_cell_length_c 7.759
_cell_angle_alpha 90.00
_cell_angle_beta 90.00
_cell_angle_gamma 90.00
loop_
_atom_site_label
_atom_site_fract_x
_atom_site_fract_y
_atom_site_fract_z
Ce1 0.000 0.000 0.000
Pr1 0.000 0.000 0.500
Mg1 0.250 0.250 0.250
```



VASP calculation (PBE-GGA) on an optimized crystal structure of As3PIr.

Calculated values
The value obtained for the density of states at the Fermi level is 5.3 states/eV/cell. The volume comes out at 22.426 Å³ per atom. For the spin magnetization, the calculation gives 0.0 μB/cell. As for the energy above the most stable polymorph in this dataset: 0.000 eV/atom.

CIF file:
```
data_As3PIr
_space_group_name_H-M_alt 'P m -3 m'
_space_group_IT_number 221
_space_group_name_Hall '-P 4 2 3'
_cell_length_a 4.822
_cell_length_b 4.822
_cell_length_c 4.822
_cell_angle_alpha 90.00
_cell_angle_beta 90.00
_cell_angle_gamma 90.00
loop_
_atom_site_label
_atom_site_fract_x
_atom_site_fract_y
_atom_site_fract_z
As1 0.000 0.000 0.500
P1 0.500 0.500 0.500
Ir1 0.000 0.000 0.000
```